VASP calculation (PBE-GGA) on a geometry-optimized Pm4HoTm4 structure.

Results
* Fermi-level density of states: 13.50 states/eV/f.u.
* calculated density: 8.187 g/cm3
* electronic total energy: -41.25 eV/f.u.
* formation energy from the elements: 0.024 eV/atom

Unit cell a=10.7045 b=10.7045 c=5.0294 alpha=90.00 beta=90.00 gamma=90.00
Space group I4/mmm (No. 139)
Inequivalent atoms, fractional coordinates:
1 Pm 0.0000 0.3304 0.0000
2 Ho 0.0000 0.0000 0.0000
3 Tm 0.1658 0.1658 0.5000